No. 1
Compound: TaInCoNi
Source: OQMD
Functional: PBE
Structure: optimized geometry Values from VASP.

Properties
final energy: -6.93 eV per atom
total magnetization: 0.71 μB/f.u.

```
&SYSTEM
  ibrav = 0, nat = 16, ntyp = 4
/
ATOMIC_SPECIES
Ta 180.95 Ta.upf
In 114.82 In.upf
Co 58.93 Co.upf
Ni 58.69 Ni.upf
CELL_PARAMETERS angstrom
6.174 0.000 0.000
0.000 6.174 0.000
0.000 0.000 6.174
ATOMIC_POSITIONS angstrom
Ta 0.000 0.000 0.000
Ta 0.000 3.087 3.087
Ta 3.087 0.000 3.087
Ta 3.087 3.087 0.000
In 0.000 0.000 3.087
In 0.000 3.087 0.000
In 3.087 0.000 0.000
In 3.087 3.087 3.087
Co 1.543 1.543 4.630
Co 1.543 4.630 1.543
Co 4.630 1.543 1.543
Co 4.630 4.630 4.630
Ni 1.543 1.543 1.543
Ni 1.543 4.630 4.630
Ni 4.630 1.543 4.630
Ni 4.630 4.630 1.543
```

No. 2
Compound: InCoTcNi
Source: OQMD
Functional: PBE
Structure: optimized geometry Values from VASP.

Properties
final energy: -6.20 eV per atom
total magnetization: 0.83 μB/f.u.

```
&SYSTEM
  ibrav = 0, nat = 16, ntyp = 4
/
ATOMIC_SPECIES
In 114.82 In.upf
Co 58.93 Co.upf
Tc 98.00 Tc.upf
Ni 58.69 Ni.upf
CELL_PARAMETERS angstrom
6.074 0.000 0.000
0.000 6.074 0.000
0.000 0.000 6.074
ATOMIC_POSITIONS angstrom
In 0.000 0.000 0.000
In 0.000 3.037 3.037
In 3.037 0.000 3.037
In 3.037 3.037 0.000
Co 1.518 1.518 1.518
Co 1.518 4.555 4.555
Co 4.555 1.518 4.555
Co 4.555 4.555 1.518
Tc 0.000 0.000 3.037
Tc 0.000 3.037 0.000
Tc 3.037 0.000 0.000
Tc 3.037 3.037 3.037
Ni 1.518 1.518 4.555
Ni 1.518 4.555 1.518
Ni 4.555 1.518 1.518
Ni 4.555 4.555 4.555
```

No. 3
Compound: InCoNiW
Source: OQMD
Functional: PBE
Structure: optimized geometry Values from VASP.

Properties
final energy: -6.88 eV per atom
total magnetization: 0.01 μB/f.u.

```
&SYSTEM
  ibrav = 0, nat = 16, ntyp = 4
/
ATOMIC_SPECIES
In 114.82 In.upf
Co 58.93 Co.upf
Ni 58.69 Ni.upf
W 183.84 W.upf
CELL_PARAMETERS angstrom
6.088 0.000 0.000
0.000 6.088 0.000
0.000 0.000 6.088
ATOMIC_POSITIONS angstrom
In 0.000 0.000 0.000
In 0.000 3.044 3.044
In 3.044 0.000 3.044
In 3.044 3.044 0.000
Co 1.522 1.522 1.522
Co 1.522 4.566 4.566
Co 4.566 1.522 4.566
Co 4.566 4.566 1.522
Ni 1.522 1.522 4.566
Ni 1.522 4.566 1.522
Ni 4.566 1.522 1.522
Ni 4.566 4.566 4.566
W 0.000 0.000 3.044
W 0.000 3.044 0.000
W 3.044 0.000 0.000
W 3.044 3.044 3.044
```

No. 4
Compound: InCoNiW
Source: OQMD
Functional: PBE
Structure: optimized geometry Values from VASP.

Properties
final energy: -6.57 eV per atom
total magnetization: 0.37 μB/f.u.

```
&SYSTEM
  ibrav = 0, nat = 16, ntyp = 4
/
ATOMIC_SPECIES
In 114.82 In.upf
Co 58.93 Co.upf
Ni 58.69 Ni.upf
W 183.84 W.upf
CELL_PARAMETERS angstrom
6.152 0.000 0.000
0.000 6.152 0.000
0.000 0.000 6.152
ATOMIC_POSITIONS angstrom
In 0.000 0.000 0.000
In 0.000 3.076 3.076
In 3.076 0.000 3.076
In 3.076 3.076 0.000
Co 1.538 1.538 1.538
Co 1.538 4.614 4.614
Co 4.614 1.538 4.614
Co 4.614 4.614 1.538
Ni 0.000 0.000 3.076
Ni 0.000 3.076 0.000
Ni 3.076 0.000 0.000
Ni 3.076 3.076 3.076
W 1.538 1.538 4.614
W 1.538 4.614 1.538
W 4.614 1.538 1.538
W 4.614 4.614 4.614
```

No. 5
Compound: ZnInCoNi
Source: OQMD
Functional: PBE
Structure: optimized geometry Values from VASP.

Properties
final energy: -4.20 eV per atom
total magnetization: 0.47 μB/f.u.

```
&SYSTEM
  ibrav = 0, nat = 16, ntyp = 4
/
ATOMIC_SPECIES
Zn 65.41 Zn.upf
In 114.82 In.upf
Co 58.93 Co.upf
Ni 58.69 Ni.upf
CELL_PARAMETERS angstrom
6.023 0.000 0.000
0.000 6.023 0.000
0.000 0.000 6.023
ATOMIC_POSITIONS angstrom
Zn 0.000 0.000 0.000
Zn 0.000 3.012 3.012
Zn 3.012 0.000 3.012
Zn 3.012 3.012 0.000
In 0.000 0.000 3.012
In 0.000 3.012 0.000
In 3.012 0.000 0.000
In 3.012 3.012 3.012
Co 1.506 1.506 4.517
Co 1.506 4.517 1.506
Co 4.517 1.506 1.506
Co 4.517 4.517 4.517
Ni 1.506 1.506 1.506
Ni 1.506 4.517 4.517
Ni 4.517 1.506 4.517
Ni 4.517 4.517 1.506
```

No. 6
Compound: ZnInCoNi
Source: OQMD
Functional: PBE
Structure: optimized geometry Values from VASP.

Properties
final energy: -4.03 eV per atom
total magnetization: 0.89 μB/f.u.

```
&SYSTEM
  ibrav = 0, nat = 16, ntyp = 4
/
ATOMIC_SPECIES
Zn 65.41 Zn.upf
In 114.82 In.upf
Co 58.93 Co.upf
Ni 58.69 Ni.upf
CELL_PARAMETERS angstrom
6.061 0.000 0.000
0.000 6.061 0.000
0.000 0.000 6.061
ATOMIC_POSITIONS angstrom
Zn 0.000 0.000 0.000
Zn 0.000 3.031 3.031
Zn 3.031 0.000 3.031
Zn 3.031 3.031 0.000
In 1.515 1.515 1.515
In 1.515 4.546 4.546
In 4.546 1.515 4.546
In 4.546 4.546 1.515
Co 1.515 1.515 4.546
Co 1.515 4.546 1.515
Co 4.546 1.515 1.515
Co 4.546 4.546 4.546
Ni 0.000 0.000 3.031
Ni 0.000 3.031 0.000
Ni 3.031 0.000 0.000
Ni 3.031 3.031 3.031
```

No. 7
Compound: ZrInCoNi
Source: OQMD
Functional: PBE
Structure: optimized geometry Values from VASP.

Properties
final energy: -5.92 eV per atom
total magnetization: 1.27 μB/f.u.

```
&SYSTEM
  ibrav = 0, nat = 16, ntyp = 4
/
ATOMIC_SPECIES
Zr 91.22 Zr.upf
In 114.82 In.upf
Co 58.93 Co.upf
Ni 58.69 Ni.upf
CELL_PARAMETERS angstrom
6.344 0.000 0.000
0.000 6.344 0.000
0.000 0.000 6.344
ATOMIC_POSITIONS angstrom
Zr 0.000 0.000 0.000
Zr 0.000 3.172 3.172
Zr 3.172 0.000 3.172
Zr 3.172 3.172 0.000
In 1.586 1.586 1.586
In 1.586 4.758 4.758
In 4.758 1.586 4.758
In 4.758 4.758 1.586
Co 0.000 0.000 3.172
Co 0.000 3.172 0.000
Co 3.172 0.000 0.000
Co 3.172 3.172 3.172
Ni 1.586 1.586 4.758
Ni 1.586 4.758 1.586
Ni 4.758 1.586 1.586
Ni 4.758 4.758 4.758
```

No. 8
Compound: ZrInCoNi
Source: OQMD
Functional: PBE
Structure: optimized geometry Values from VASP.

Properties
final energy: -6.29 eV per atom
total magnetization: 0.16 μB/f.u.

```
&SYSTEM
  ibrav = 0, nat = 16, ntyp = 4
/
ATOMIC_SPECIES
Zr 91.22 Zr.upf
In 114.82 In.upf
Co 58.93 Co.upf
Ni 58.69 Ni.upf
CELL_PARAMETERS angstrom
6.231 0.000 0.000
0.000 6.231 0.000
0.000 0.000 6.231
ATOMIC_POSITIONS angstrom
Zr 0.000 0.000 0.000
Zr 0.000 3.115 3.115
Zr 3.115 0.000 3.115
Zr 3.115 3.115 0.000
In 0.000 0.000 3.115
In 0.000 3.115 0.000
In 3.115 0.000 0.000
In 3.115 3.115 3.115
Co 1.558 1.558 4.673
Co 1.558 4.673 1.558
Co 4.673 1.558 1.558
Co 4.673 4.673 4.673
Ni 1.558 1.558 1.558
Ni 1.558 4.673 4.673
Ni 4.673 1.558 4.673
Ni 4.673 4.673 1.558
```